[1]
A geometry-optimized CsSn3Au2 structure, computed with GGA-PBE.

Properties
E: -3.4338 eV/atom
V: 34.2 A^3/atom

Cell: 17.732 5.370 9.486 Å, 90.00 114.70 90.00°
Space group C2/m (No. 12)
Unique sites:
Cs: 0.150 0.000 0.083 [4 per cell]
Sn: 0.025 0.000 0.357 [4 per cell]
Sn: 0.100 0.500 0.662 [4 per cell]
Sn: 0.226 0.500 0.415 [4 per cell]
Au: 0.058 0.500 0.328 [4 per cell]
Au: 0.148 0.000 0.682 [4 per cell]

=====

[2]
A geometry-optimized Hf2CuHAu structure, computed with GGA-PBE.

Properties
E: -6.3925 eV/atom
V: 14.9 A^3/atom

Cell: 4.352 4.352 3.941 Å, 90.00 90.00 90.00°
Space group P4/mmm (No. 123)
Unique sites:
Hf: 0.000 0.500 0.000 [2 per cell]
Cu: 0.000 0.000 0.500 [1 per cell]
H: 0.000 0.000 0.000 [1 per cell]
Au: 0.500 0.500 0.500 [1 per cell]

=====

[3]
A geometry-optimized MnV2Cl6 structure, computed with GGA-PBE.

Properties
Formation energy without anion corrections: -1.114 eV per atom
Energy relative to the lowest polymorph listed for this composition: 0.000 eV per atom
V: 24.5 A^3/atom

Cell: 16.444 3.669 7.619 Å, 90.00 106.10 90.00°
Space group C2/m (No. 12)
Unique sites:
Mn: 0.000 0.000 0.000 [2 per cell]
V: 0.167 0.500 0.333 [4 per cell]
Cl: 0.009 0.500 0.236 [4 per cell]
Cl: 0.161 0.000 0.108 [4 per cell]
Cl: 0.175 0.000 0.560 [4 per cell]

=====

[4]
A geometry-optimized Cd2CoSb structure, computed with GGA-PBE.

Properties
Formation energy without anion corrections: 0.111 eV per atom
V: 21.4 A^3/atom

Cell: 3.000 4.517 12.622 Å, 90.00 90.00 90.00°
Space group Imm2 (No. 44)
Unique sites:
Cd: 0.000 0.000 0.000 [2 per cell]
Cd: 0.000 0.500 0.165 [2 per cell]
Co: 0.000 0.500 0.684 [2 per cell]
Sb: 0.000 0.000 0.347 [2 per cell]

=====

[5]
A geometry-optimized La5Ag4Hg structure, computed with GGA-PBE.

Properties
E: -3.9412 eV/atom
V: 28.4 A^3/atom

Cell: 3.825 3.825 19.392 Å, 90.00 90.00 90.00°
Space group P4/mmm (No. 123)
Unique sites:
La: 0.000 0.000 0.000 [1 per cell]
La: 0.000 0.000 0.198 [2 per cell]
La: 0.000 0.000 0.396 [2 per cell]
Ag: 0.500 0.500 0.099 [2 per cell]
Ag: 0.500 0.500 0.296 [2 per cell]
Hg: 0.500 0.500 0.500 [1 per cell]

=====

[6]
A geometry-optimized Np2B2SbRu5 structure, computed with GGA-PBE.

Properties
Formation energy without anion corrections: -0.311 eV per atom
V: 14.8 A^3/atom

Cell: 9.742 9.742 3.127 Å, 90.00 90.00 90.00°
Space group P4/mbm (No. 127)
Unique sites:
Np: 0.176 0.324 0.000 [4 per cell]
B: 0.120 0.620 0.000 [4 per cell]
Sb: 0.000 0.000 0.000 [2 per cell]
Ru: 0.000 0.500 0.500 [2 per cell]
Ru: 0.070 0.777 0.500 [8 per cell]

=====

[7]
A geometry-optimized BeCrBr2 structure, computed with GGA-PBE.

Properties
Formation energy without anion corrections: 0.296 eV per atom
Energy relative to the lowest polymorph listed for this composition: 0.369 eV per atom
V: 26.3 A^3/atom

Cell: 6.701 6.701 9.364 Å, 90.00 90.00 90.00°
Space group I-42d (No. 122)
Unique sites:
Be: 0.000 0.000 0.000 [4 per cell]
Cr: 0.000 0.000 0.500 [4 per cell]
Br: 0.135 0.250 0.125 [8 per cell]

=====

[8]
A geometry-optimized LaTlSb structure, computed with GGA-PBE.

Properties
Formation energy without anion corrections: -0.735 eV per atom
Energy relative to the lowest polymorph listed for this composition: 0.000 eV per atom
V: 33.9 A^3/atom

Cell: 4.608 4.612 9.584 Å, 90.15 90.03 90.10°
Space group P1 (No. 1)
Unique sites:
La: 0.000 0.000 0.000 [1 per cell]
La: 0.499 0.498 0.647 [1 per cell]
Tl: 0.000 0.998 0.353 [1 per cell]
Tl: 0.500 0.498 0.293 [1 per cell]
Sb: 0.500 0.500 0.982 [1 per cell]
Sb: 0.999 0.998 0.665 [1 per cell]

=====

Question: Among the records above, which one has the lowest V?
Answer: Np2B2SbRu5